Computed, not measured: a relaxed CrSeO2 crystal at the PBE with a Hubbard U level of DFT.

Space-group type = R-3m (166)
Fermi-level density of states = 1.01 states/eV/cell
DFT total energy = -25.60 eV per cell
Total magnetic moment = 3.11 μB/cell

a = 6.3764 Å, b = 6.3764 Å, c = 6.3764 Å
α = 27.88°, β = 27.88°, γ = 27.88°
Last column: magnetic moment on the atom in μB.
Positions (direct):
Se  0.0000  0.0000  0.0000  0.07
Cr  0.5000  0.5000  0.5000  3.06
O  0.1129  0.1129  0.1129  -0.06
O  0.8871  0.8871  0.8871  -0.06